# TaAlPb2 (GGA-PBE, relaxed)
# - Crystal system: trigonal
# - Volume: 293.2 Å³/cell
# - Formation energy from the elements: 0.2822 eV per atom
data_TaAlPb2
_chemical_formula_sum 'Ta3 Al3 Pb6'
_symmetry_space_group_name_H-M 'R 3 m'
_symmetry_Int_Tables_number 160
_symmetry_space_group_name_Hall 'R 3 -2"'
_cell_length_a 3.1594
_cell_length_b 3.1594
_cell_length_c 33.9137
_cell_angle_alpha 90.00
_cell_angle_beta 90.00
_cell_angle_gamma 120.00
loop_
_atom_site_label
_atom_site_type_symbol
_atom_site_fract_x
_atom_site_fract_y
_atom_site_fract_z
_atom_site_occupancy
Ta1 Ta 0.0000 0.0000 0.0000 1
Al1 Al 0.0000 0.0000 0.7310 1
Pb1 Pb 0.0000 0.0000 0.2563 1
Pb2 Pb 0.0000 0.0000 0.4781 1